This record from Alexandria via LeMat-Bulk describes a relaxed structure of Nd2BeGaPd6. The functional is PBE.

a = 5.790 Å, b = 5.917 Å, c = 7.060 Å
α = 68.06°, β = 65.99°, γ = 60.76°
Space group P-1 (No. 2)
Unique sites:
Nd: 0.225 0.245 0.314
Be: 0.000 0.000 0.000
Ga: 0.500 0.500 0.500
Pd: 0.239 0.676 0.835
Pd: 0.248 0.221 0.785
Pd: 0.268 0.781 0.206

Output
**Electronic total energy**: -5.419 eV/atom
**Energy of formation from the pure elements**: -0.674 eV per atom
**Density of states at the Fermi level**: 2.5 states/eV per cell

=====

This record from Alexandria via LeMat-Bulk describes a relaxed structure of Cu2ReCl. The functional is PBE.

a = 2.740 Å, b = 4.370 Å, c = 4.729 Å
α = 90.00°, β = 90.00°, γ = 90.00°
Space group Pmmm (No. 47)
Unique sites:
Cu: 0.000 0.000 0.000
Cu: 0.500 0.500 0.000
Re: 0.000 0.500 0.500
Cl: 0.500 0.000 0.500

Output
**Formation energy from raw total energies**: 0.852 eV/atom
**Electronic total energy**: -4.770 eV/atom
**Energy above the most stable polymorph in this dataset**: 0.515 eV per atom
**Density of states at the Fermi level**: 4.0 states/eV per cell

=====

This record from Alexandria via LeMat-Bulk describes a relaxed structure of In2RuCl. The functional is PBE.

a = 4.134 Å, b = 4.134 Å, c = 9.534 Å
α = 90.00°, β = 90.00°, γ = 90.00°
Space group I-4m2 (No. 119)
Unique sites:
In: 0.000 0.000 0.000
In: 0.000 0.500 0.250
Ru: 0.000 0.500 0.750
Cl: 0.000 0.000 0.500

Output
**Formation energy from raw total energies**: 0.385 eV/atom
**Electronic total energy**: -3.765 eV/atom
**Energy above the most stable polymorph in this dataset**: 0.676 eV per atom
**Density of states at the Fermi level**: 5.3 states/eV per cell

=====

This record from Alexandria via LeMat-Bulk describes a relaxed structure of Ac3ZnAg2Pd9. The functional is PBE.

a = 7.8664 Å, b = 7.8664 Å, c = 6.4810 Å
α = 90.00°, β = 90.00°, γ = 120.00°
Space group P-3m1 (No. 164)
Unique sites:
Ac: 0.0000 0.0000 0.0000
Ac: 0.3333 0.6667 0.6782
Zn: 0.0000 0.0000 0.5000
Ag: 0.3333 0.6667 0.1885
Pd: 0.0000 0.5000 0.0000
Pd: 0.1583 0.3167 0.3355

Output
**Electronic total energy**: -4.667 eV/atom
**Energy of formation from the pure elements**: -0.264 eV per atom
**Density of states at the Fermi level**: 5.9 states/eV per cell